The following is a PBE calculation of crystalline Cs2TlAgHg6 at its relaxed geometry, from Alexandria.

Geometry as extended XYZ:
```
20
Lattice="8.238 0.000 0.000 0.000 8.690 0.000 0.000 0.000 10.309" Properties=species:S:1:pos:R:3 pbc="T T T"
Cs 4.119 6.429 7.525
Cs 4.119 6.429 2.784
Cs 0.000 2.261 2.370
Cs 0.000 2.261 7.939
Hg 2.587 0.289 0.000
Hg 5.679 3.430 5.155
Hg 1.560 5.260 0.000
Hg 0.000 6.874 2.673
Hg 0.000 6.874 7.637
Hg 6.679 5.260 0.000
Hg 6.706 8.401 5.155
Hg 2.560 3.430 5.155
Hg 5.652 0.289 0.000
Hg 4.119 1.816 7.827
Hg 1.533 8.401 5.155
Hg 4.119 1.816 2.482
Ag 4.119 0.869 5.155
Ag 0.000 7.821 0.000
Tl 0.000 5.127 5.155
Tl 4.119 3.563 0.000
```

Output
Formation energy from the elements: -127.7 meV/atom
Fermi-level density of states: 8.3 states/eV/cell
V: 738.1 Å³/cell
Space group: No. 59